(1)
Here is a PBEsol-optimized structure of Bi3PSe from Alexandria. Energies are from meta-GGA SCAN.

Cell and atoms, written as POSCAR:
```
Bi3PSe
1.0
5.427 0.000 0.000
0.000 5.427 0.000
0.000 0.000 5.427
Bi P Se
3 1 1
Cartesian
0.000 0.000 2.714
0.000 2.714 0.000
2.714 0.000 0.000
2.714 2.714 2.714
0.000 0.000 0.000
```

Calculated values
VASP energy in eV/cell: -260.7
Space group: Pm-3m
Raw formation energy in eV/atom: 1.1085

---

(2)
Here is a PBEsol-optimized structure of Bi2PSe from Alexandria. Energies are from meta-GGA SCAN.

Cell and atoms, written as POSCAR:
```
Bi2PSe
1.0
7.598 0.000 0.000
0.000 7.598 0.000
0.000 0.000 7.470
Bi P Se
8 4 4
Cartesian
1.746 1.899 0.934
1.899 5.545 2.801
1.899 5.852 6.537
2.053 1.899 4.669
5.545 5.698 4.669
5.698 1.746 6.537
5.698 2.053 2.801
5.852 5.698 0.934
0.000 0.000 0.000
0.000 3.799 1.868
3.799 0.000 5.603
3.799 3.799 3.735
0.000 0.000 3.735
0.000 3.799 5.603
3.799 0.000 1.868
3.799 3.799 0.000
```

Calculated values
VASP energy in eV/cell: -747.5
Space group: I-42d
Raw formation energy in eV/atom: 0.1925

---

(3)
Here is a PBEsol-optimized structure of SnBiP2 from Alexandria. Energies are from meta-GGA SCAN.

Cell and atoms, written as POSCAR:
```
SnBiP2
1.0
6.930 0.000 0.000
0.000 6.930 0.000
0.000 0.000 6.930
Sn Bi P
4 4 8
Cartesian
0.000 0.000 0.000
0.000 3.465 3.465
3.465 0.000 3.465
3.465 3.465 0.000
0.000 0.000 3.465
0.000 3.465 0.000
3.465 0.000 0.000
3.465 3.465 3.465
1.732 1.732 1.732
1.732 1.732 5.197
1.732 5.197 1.732
1.732 5.197 5.197
5.197 1.732 1.732
5.197 1.732 5.197
5.197 5.197 1.732
5.197 5.197 5.197
```

Calculated values
VASP energy in eV/cell: -531.8
Energy relative to the elements in eV per formula unit: 2.34
Space group: Fm-3m

---

(4)
Here is a PBEsol-optimized structure of SrBiP2 from Alexandria. Energies are from meta-GGA SCAN.

Cell and atoms, written as POSCAR:
```
SrBiP2
1.0
7.435 0.000 0.000
0.000 7.435 0.000
0.000 0.000 8.419
Sr Bi P
4 4 8
Cartesian
0.000 0.000 0.000
0.000 3.718 2.105
3.718 0.000 6.314
3.718 3.718 4.210
0.000 0.000 4.210
0.000 3.718 6.314
3.718 0.000 2.105
3.718 3.718 0.000
1.595 5.576 5.262
1.859 1.595 3.157
1.859 2.123 7.367
2.123 5.576 1.052
5.312 1.859 1.052
5.576 5.312 7.367
5.576 5.840 3.157
5.840 1.859 5.262
```

Calculated values
VASP energy in eV/cell: -490.0
Energy relative to the elements in eV per formula unit: -0.84
Space group: I-42d

---

(5)
Here is a PBEsol-optimized structure of Sr3BiP from Alexandria. Energies are from meta-GGA SCAN.

Cell and atoms, written as POSCAR:
```
Sr3BiP
1.0
5.698 0.000 0.000
0.000 5.698 0.000
0.000 0.000 5.698
Sr Bi P
3 1 1
Cartesian
0.000 0.000 2.849
0.000 2.849 0.000
2.849 0.000 0.000
2.849 2.849 2.849
0.000 0.000 0.000
```

Calculated values
VASP energy in eV/cell: -161.0
Energy relative to the elements in eV per formula unit: -5.21
Space group: Pm-3m

---

(6)
Here is a PBEsol-optimized structure of TaZnBi2P from Alexandria. Energies are from meta-GGA SCAN.

Cell and atoms, written as POSCAR:
```
TaZnBi2P
1.0
5.137 0.000 0.000
0.000 5.137 0.000
0.000 0.000 4.898
Ta Zn Bi P
1 1 2 1
Cartesian
0.000 0.000 0.000
0.000 0.000 2.449
0.000 2.568 2.449
2.568 0.000 2.449
2.568 2.568 0.000
```

Calculated values
VASP energy in eV/cell: -240.6
Energy relative to the elements in eV per formula unit: 7.10
Space group: P4/mmm

---

(7)
Here is a PBEsol-optimized structure of TcBiP3 from Alexandria. Energies are from meta-GGA SCAN.

Cell and atoms, written as POSCAR:
```
TcBiP3
1.0
4.617 0.000 0.000
0.000 4.617 0.000
0.000 0.000 4.617
Tc Bi P
1 1 3
Cartesian
0.000 0.000 0.000
2.308 2.308 2.308
0.000 0.000 2.308
0.000 2.308 0.000
2.308 0.000 0.000
```

Calculated values
VASP energy in eV/cell: -142.0
Energy relative to the elements in eV per formula unit: 2.82
Space group: Pm-3m

---

(8)
Here is a PBEsol-optimized structure of Bi2TeP2 from Alexandria. Energies are from meta-GGA SCAN.

Cell and atoms, written as POSCAR:
```
Bi2TeP2
1.0
3.930 0.000 0.000
0.000 3.930 0.000
0.000 0.000 15.967
Bi Te P
4 2 4
Cartesian
0.000 0.000 1.818
0.000 0.000 14.149
1.965 1.965 6.165
1.965 1.965 9.801
0.000 0.000 7.983
1.965 1.965 0.000
0.000 1.965 3.992
0.000 1.965 11.975
1.965 0.000 3.992
1.965 0.000 11.975
```

Calculated values
VASP energy in eV/cell: -426.4
Space group: I4/mmm
Raw formation energy in eV/atom: 0.4001

---

(9)
Here is a PBEsol-optimized structure of Ti2BiP from Alexandria. Energies are from meta-GGA SCAN.

Cell and atoms, written as POSCAR:
```
Ti2BiP
1.0
5.852 0.000 0.000
0.000 5.852 0.000
0.000 0.000 11.811
Ti Bi P
8 4 4
Cartesian
1.115 1.463 1.476
1.463 4.040 4.429
1.463 4.737 10.335
1.811 1.463 7.382
4.040 4.389 7.382
4.389 1.115 10.335
4.389 1.811 4.429
4.737 4.389 1.476
0.000 0.000 5.906
0.000 2.926 8.858
2.926 0.000 2.953
2.926 2.926 0.000
0.000 0.000 0.000
0.000 2.926 2.953
2.926 0.000 8.858
2.926 2.926 5.906
```

Calculated values
VASP energy in eV/cell: -485.0
Energy relative to the elements in eV per formula unit: -0.21
Space group: I-42d

---

(10)
Here is a PBEsol-optimized structure of TlBi3P from Alexandria. Energies are from meta-GGA SCAN.

Cell and atoms, written as POSCAR:
```
TlBi3P
1.0
5.409 0.000 0.000
0.000 5.409 0.000
0.000 0.000 5.409
Tl Bi P
1 3 1
Cartesian
0.000 0.000 0.000
0.000 2.705 2.705
2.705 0.000 2.705
2.705 2.705 0.000
2.705 2.705 2.705
```

Calculated values
VASP energy in eV/cell: -316.0
Energy relative to the elements in eV per formula unit: 2.47
Space group: Pm-3m

---

(11)
Here is a PBEsol-optimized structure of BiPd6Pb from Alexandria. Energies are from meta-GGA SCAN.

Cell and atoms, written as POSCAR:
```
BiPd6Pb
1.0
4.046 0.000 0.000
0.000 4.046 0.000
0.000 0.000 8.091
Bi Pd Pb
1 6 1
Cartesian
0.000 0.000 0.000
0.000 2.023 2.033
0.000 2.023 6.057
2.023 0.000 2.033
2.023 0.000 6.057
2.023 2.023 0.000
2.023 2.023 4.045
0.000 0.000 4.045
```

Calculated values
VASP energy in eV/cell: -352.8
Energy relative to the elements in eV per formula unit: -1.80
Space group: P4/mmm

---

(12)
Here is a PBEsol-optimized structure of Bi3PdPb from Alexandria. Energies are from meta-GGA SCAN.

Cell and atoms, written as POSCAR:
```
Bi3PdPb
1.0
5.741 0.000 0.000
0.000 5.741 0.000
0.000 0.000 5.741
Bi Pd Pb
3 1 1
Cartesian
0.000 0.000 2.870
0.000 2.870 0.000
2.870 0.000 0.000
2.870 2.870 2.870
0.000 0.000 0.000
```

Calculated values
VASP energy in eV/cell: -338.0
Energy relative to the elements in eV per formula unit: 6.28
Space group: Pm-3m

---

(13)
Here is a PBEsol-optimized structure of Bi3Pd12Pb from Alexandria. Energies are from meta-GGA SCAN.

Cell and atoms, written as POSCAR:
```
Bi3Pd12Pb
1.0
5.746 0.000 0.000
0.000 9.380 0.000
0.000 0.000 4.952
Bi Pd Pb
3 12 1
Cartesian
0.000 0.000 0.000
2.873 2.350 1.735
2.873 7.030 1.735
0.000 2.349 1.747
0.000 7.031 1.747
1.423 4.690 0.959
1.430 2.358 4.212
1.430 7.022 4.212
1.439 0.000 2.517
2.873 0.000 4.918
2.873 4.690 3.510
4.307 0.000 2.517
4.317 2.358 4.212
4.317 7.022 4.212
4.323 4.690 0.959
0.000 4.690 3.454
```

Calculated values
VASP energy in eV/cell: -708.2
Energy relative to the elements in eV per formula unit: -3.34
Space group: Pmm2

---

(14)
Here is a PBEsol-optimized structure of YBiPtPb2 from Alexandria. Energies are from meta-GGA SCAN.

Cell and atoms, written as POSCAR:
```
YBiPtPb2
1.0
5.650 0.000 0.000
0.000 5.650 0.000
0.000 0.000 5.638
Y Bi Pt Pb
1 1 1 2
Cartesian
0.000 0.000 0.000
0.000 0.000 2.819
2.825 2.825 2.819
0.000 2.825 0.000
2.825 0.000 0.000
```

Calculated values
VASP energy in eV/cell: -323.0
Energy relative to the elements in eV per formula unit: 5.22
Space group: P4/mmm

---

(15)
Here is a PBEsol-optimized structure of RbBi2Pb2 from Alexandria. Energies are from meta-GGA SCAN.

Cell and atoms, written as POSCAR:
```
RbBi2Pb2
1.0
5.341 0.000 0.000
0.000 5.341 0.000
0.000 0.000 13.473
Rb Bi Pb
2 4 4
Cartesian
0.000 0.000 0.000
2.670 2.670 6.736
0.000 2.670 3.368
0.000 2.670 10.105
2.670 0.000 3.368
2.670 0.000 10.105
0.000 0.000 5.107
0.000 0.000 8.366
2.670 2.670 1.629
2.670 2.670 11.844
```

Calculated values
VASP energy in eV/cell: -660.9
Energy relative to the elements in eV per formula unit: -0.98
Space group: I4/mmm

---

(16)
Here is a PBEsol-optimized structure of ReBi3Pb from Alexandria. Energies are from meta-GGA SCAN.

Cell and atoms, written as POSCAR:
```
ReBi3Pb
1.0
5.312 0.000 0.000
0.000 5.312 0.000
0.000 0.000 5.312
Re Bi Pb
1 3 1
Cartesian
0.000 0.000 0.000
0.000 0.000 2.656
0.000 2.656 0.000
2.656 0.000 0.000
2.656 2.656 2.656
```

Calculated values
VASP energy in eV/cell: -378.7
Energy relative to the elements in eV per formula unit: 3.91
Space group: Pm-3m

---

(17)
Here is a PBEsol-optimized structure of SrBi2RhPb from Alexandria. Energies are from meta-GGA SCAN.

Cell and atoms, written as POSCAR:
```
SrBi2RhPb
1.0
5.953 0.000 0.000
0.000 5.953 0.000
0.000 0.000 4.865
Sr Bi Rh Pb
1 2 1 1
Cartesian
0.000 0.000 0.000
0.000 2.976 0.000
2.976 0.000 0.000
0.000 0.000 2.432
2.976 2.976 2.432
```

Calculated values
VASP energy in eV/cell: -284.0
Energy relative to the elements in eV per formula unit: 4.99
Space group: P4/mmm

---

(18)
Here is a PBEsol-optimized structure of BiRu2Pb from Alexandria. Energies are from meta-GGA SCAN.

Cell and atoms, written as POSCAR:
```
BiRu2Pb
1.0
6.628 0.000 0.000
0.000 6.628 0.000
0.000 0.000 6.628
Bi Ru Pb
4 8 4
Cartesian
0.000 0.000 0.000
0.000 3.314 3.314
3.314 0.000 3.314
3.314 3.314 0.000
1.657 1.657 1.657
1.657 1.657 4.971
1.657 4.971 1.657
1.657 4.971 4.971
4.971 1.657 1.657
4.971 1.657 4.971
4.971 4.971 1.657
4.971 4.971 4.971
0.000 0.000 3.314
0.000 3.314 0.000
3.314 0.000 0.000
3.314 3.314 3.314
```

Calculated values
VASP energy in eV/cell: -886.2
Energy relative to the elements in eV per formula unit: 2.46
Space group: Fm-3m

---

(19)
Here is a PBEsol-optimized structure of Zn2BiRuPb from Alexandria. Energies are from meta-GGA SCAN.

Cell and atoms, written as POSCAR:
```
Zn2BiRuPb
1.0
4.836 0.000 0.000
0.000 4.836 0.000
0.000 0.000 5.072
Zn Bi Ru Pb
2 1 1 1
Cartesian
0.000 2.418 0.000
2.418 0.000 0.000
0.000 0.000 2.536
0.000 0.000 0.000
2.418 2.418 2.536
```

Calculated values
VASP energy in eV/cell: -214.3
Energy relative to the elements in eV per formula unit: 1.89
Space group: P4/mmm

---

(20)
Here is a PBEsol-optimized structure of Bi2Pb2S5 from Alexandria. Energies are from meta-GGA SCAN.

Cell and atoms, written as POSCAR:
```
Bi2Pb2S5
1.0
23.810 0.000 0.000
0.000 4.011 0.000
0.000 0.000 19.271
Bi Pb S
16 16 40
Cartesian
0.213 1.003 1.906
3.519 3.008 19.026
4.001 1.003 3.722
4.877 1.003 11.523
7.028 3.008 1.888
7.904 3.008 13.358
8.386 1.003 9.391
11.692 3.008 11.541
12.118 1.003 7.729
15.423 3.008 9.880
15.906 1.003 5.913
16.782 1.003 17.383
18.933 3.008 7.747
19.809 3.008 15.548
20.291 1.003 0.244
23.597 3.008 17.365
0.898 3.008 5.484
1.628 3.008 10.249
3.203 1.003 15.155
4.887 3.008 7.550
7.018 1.003 17.186
8.702 3.008 5.519
10.277 1.003 0.613
11.007 1.003 15.119
12.803 3.008 4.151
13.533 3.008 18.657
15.108 1.003 13.751
16.792 3.008 2.085
18.922 1.003 11.720
20.607 3.008 4.116
22.182 1.003 9.022
22.912 1.003 13.787
0.064 1.003 11.300
0.968 3.008 15.060
1.603 1.003 18.284
2.083 3.008 2.501
2.919 1.003 6.062
3.459 3.008 12.679
3.669 1.003 9.186
4.687 3.008 16.690
5.178 1.003 0.703
5.623 3.008 4.467
6.282 1.003 14.103
6.727 3.008 10.338
7.218 1.003 7.054
8.236 3.008 18.821
8.446 1.003 3.043
8.986 3.008 15.698
9.822 1.003 12.136
10.302 3.008 8.649
10.937 1.003 5.425
11.841 3.008 1.665
11.969 1.003 17.605
12.873 3.008 13.845
13.508 1.003 10.621
13.988 3.008 7.134
14.824 1.003 3.573
15.364 3.008 16.227
15.574 1.003 0.450
16.592 3.008 12.216
17.083 1.003 8.932
17.527 3.008 5.168
18.187 1.003 14.803
18.632 3.008 18.568
19.123 1.003 2.581
20.141 3.008 10.085
20.351 1.003 6.592
20.891 3.008 13.208
21.727 1.003 16.770
22.207 3.008 0.986
22.842 1.003 4.210
23.746 3.008 7.970
```

Calculated values
VASP energy in eV/cell: -2883.8
Space group: Pnma
Raw formation energy in eV/atom: -0.4021

---

| no. | magnetization (Bohr magnetons per cell) |
| --- | --- |
| 1 | 0.0 |
| 2 | 0.0 |
| 3 | 0.0 |
| 4 | 0.0 |
| 5 | 0.0 |
| 6 | 1.8 |
| 7 | 0.0 |
| 8 | 0.0 |
| 9 | 0.0 |
| 10 | 0.0 |
| 11 | 0.0 |
| 12 | 0.0 |
| 13 | 0.0 |
| 14 | 0.0 |
| 15 | 0.0 |
| 16 | 0.0 |
| 17 | 0.0 |
| 18 | 2.1 |
| 19 | 0.0 |
| 20 | 0.0 |